[1]
Density functional theory data (PBE-GGA) for an optimized crystal structure of LiTaNbO6.

CIF file:
```
data_LiTaNbO6
_space_group_name_H-M_alt 'P 42 n m'
_space_group_IT_number 102
_space_group_name_Hall 'P 4n -2n'
_cell_length_a 4.847
_cell_length_b 4.847
_cell_length_c 9.386
_cell_angle_alpha 90.00
_cell_angle_beta 90.00
_cell_angle_gamma 90.00
loop_
_atom_site_label
_atom_site_type_symbol
_atom_site_fract_x
_atom_site_fract_y
_atom_site_fract_z
Li1 Li 0.000 0.000 0.000
Ta1 Ta 0.000 0.000 0.663
Nb1 Nb 0.000 0.000 0.336
O1 O 0.187 0.187 0.501
O2 O 0.210 0.210 0.812
O3 O 0.212 0.212 0.186
```

Magnetic moment = 1.0 μB/f.u.
DFT total energy = -8.305 eV/atom

***

[2]
Density functional theory data (PBE-GGA) for an optimized crystal structure of LiTa2NbO8.

CIF file:
```
data_LiTa2NbO8
_space_group_name_H-M_alt 'C m m m'
_space_group_IT_number 65
_space_group_name_Hall '-C 2 2'
_cell_length_a 6.694
_cell_length_b 6.839
_cell_length_c 6.221
_cell_angle_alpha 90.00
_cell_angle_beta 90.00
_cell_angle_gamma 90.00
loop_
_atom_site_label
_atom_site_type_symbol
_atom_site_fract_x
_atom_site_fract_y
_atom_site_fract_z
Li1 Li 0.000 0.000 0.000
Ta1 Ta 0.000 0.500 0.240
Nb1 Nb 0.000 0.000 0.500
O1 O 0.000 0.304 0.500
O2 O 0.000 0.314 0.000
O3 O 0.207 0.000 0.271
```

Magnetic moment = 0.0 μB/f.u.
DFT total energy = -8.939 eV/atom

***

[3]
Density functional theory data (PBE-GGA) for an optimized crystal structure of LiNbTcO6.

CIF file:
```
data_LiNbTcO6
_space_group_name_H-M_alt 'P 42 n m'
_space_group_IT_number 102
_space_group_name_Hall 'P 4n -2n'
_cell_length_a 4.835
_cell_length_b 4.835
_cell_length_c 9.008
_cell_angle_alpha 90.00
_cell_angle_beta 90.00
_cell_angle_gamma 90.00
loop_
_atom_site_label
_atom_site_type_symbol
_atom_site_fract_x
_atom_site_fract_y
_atom_site_fract_z
Li1 Li 0.000 0.000 0.000
Nb1 Nb 0.000 0.000 0.672
Tc1 Tc 0.000 0.000 0.327
O1 O 0.182 0.182 0.491
O2 O 0.203 0.203 0.187
O3 O 0.214 0.214 0.816
```

Magnetic moment = 0.5 μB/f.u.
DFT total energy = -7.661 eV/atom

***

[4]
Density functional theory data (PBE-GGA) for an optimized crystal structure of LiNbTcO2.

CIF file:
```
data_LiNbTcO2
_space_group_name_H-M_alt 'P 4/m m m'
_space_group_IT_number 123
_space_group_name_Hall '-P 4 2'
_cell_length_a 3.906
_cell_length_b 3.906
_cell_length_c 5.529
_cell_angle_alpha 90.00
_cell_angle_beta 90.00
_cell_angle_gamma 90.00
loop_
_atom_site_label
_atom_site_type_symbol
_atom_site_fract_x
_atom_site_fract_y
_atom_site_fract_z
Li1 Li 0.000 0.000 0.000
Nb1 Nb 0.000 0.000 0.500
Tc1 Tc 0.500 0.500 0.000
O1 O 0.000 0.500 0.500
```

Magnetic moment = 3.1 μB/f.u.
DFT total energy = -6.724 eV/atom

***

[5]
Density functional theory data (PBE-GGA) for an optimized crystal structure of Li4NbTe3O12.

CIF file:
```
data_Li4NbTe3O12
_space_group_name_H-M_alt 'P 1'
_space_group_IT_number 1
_space_group_name_Hall 'P 1'
_cell_length_a 5.269
_cell_length_b 5.664
_cell_length_c 7.730
_cell_angle_alpha 84.60
_cell_angle_beta 89.69
_cell_angle_gamma 89.86
loop_
_atom_site_label
_atom_site_type_symbol
_atom_site_fract_x
_atom_site_fract_y
_atom_site_fract_z
Li1 Li 0.000 0.000 0.000
Li2 Li 0.000 0.019 0.503
Li3 Li 0.493 0.498 0.492
Li4 Li 0.502 0.524 0.011
Nb1 Nb 0.498 0.074 0.282
Te1 Te 0.001 0.569 0.289
Te2 Te 0.498 0.090 0.787
Te3 Te 0.998 0.576 0.785
O1 O 0.125 0.611 0.535
O2 O 0.181 0.939 0.236
O3 O 0.202 0.271 0.872
O4 O 0.323 0.802 0.872
O5 O 0.329 0.421 0.241
O6 O 0.367 0.116 0.551
O7 O 0.628 0.109 0.037
O8 O 0.653 0.410 0.735
O9 O 0.672 0.793 0.367
O10 O 0.806 0.283 0.365
O11 O 0.815 0.941 0.735
O12 O 0.876 0.606 0.043
```

Magnetic moment = 0.0 μB/f.u.
Excess energy over the best structure of this formula in the dataset = 0 meV/atom
DFT total energy = -5.920 eV/atom

***

[6]
Density functional theory data (PBE-GGA) for an optimized crystal structure of Li3Nb3TeO12.

CIF file:
```
data_Li3Nb3TeO12
_space_group_name_H-M_alt 'P 1'
_space_group_IT_number 1
_space_group_name_Hall 'P 1'
_cell_length_a 5.206
_cell_length_b 5.529
_cell_length_c 7.627
_cell_angle_alpha 85.65
_cell_angle_beta 89.77
_cell_angle_gamma 89.74
loop_
_atom_site_label
_atom_site_type_symbol
_atom_site_fract_x
_atom_site_fract_y
_atom_site_fract_z
Li1 Li 0.000 0.000 0.000
Li2 Li 0.010 0.016 0.503
Li3 Li 0.509 0.510 0.493
Nb1 Nb 0.005 0.573 0.279
Nb2 Nb 0.505 0.075 0.278
Nb3 Nb 0.999 0.583 0.783
Te1 Te 0.508 0.094 0.786
O1 O 0.105 0.615 0.041
O2 O 0.204 0.294 0.359
O3 O 0.205 0.915 0.734
O4 O 0.315 0.797 0.362
O5 O 0.322 0.402 0.730
O6 O 0.380 0.098 0.032
O7 O 0.636 0.119 0.549
O8 O 0.690 0.411 0.258
O9 O 0.717 0.817 0.859
O10 O 0.807 0.287 0.859
O11 O 0.829 0.925 0.243
O12 O 0.886 0.623 0.548
```

Magnetic moment = 0.0 μB/f.u.
DFT total energy = -7.334 eV/atom

***

[7]
Density functional theory data (PBE-GGA) for an optimized crystal structure of LiNbTeO5.

CIF file:
```
data_LiNbTeO5
_space_group_name_H-M_alt 'C 1 2/c 1'
_space_group_IT_number 15
_space_group_name_Hall '-C 2yc'
_cell_length_a 7.815
_cell_length_b 8.489
_cell_length_c 7.870
_cell_angle_alpha 90.00
_cell_angle_beta 119.24
_cell_angle_gamma 90.00
loop_
_atom_site_label
_atom_site_type_symbol
_atom_site_fract_x
_atom_site_fract_y
_atom_site_fract_z
Li1 Li 0.000 0.068 0.250
Nb1 Nb 0.250 0.250 0.000
Te1 Te 0.000 0.422 0.250
O1 O 0.000 0.265 0.750
O2 O 0.096 0.254 0.152
O3 O 0.241 0.014 0.992
```

Magnetic moment = 0.0 μB/f.u.
DFT total energy = -6.819 eV/atom

***

[8]
Density functional theory data (PBE-GGA) for an optimized crystal structure of Li2NbTeO6.

CIF file:
```
data_Li2NbTeO6
_space_group_name_H-M_alt 'P 4 m m'
_space_group_IT_number 99
_space_group_name_Hall 'P 4 -2'
_cell_length_a 5.686
_cell_length_b 5.686
_cell_length_c 4.083
_cell_angle_alpha 90.00
_cell_angle_beta 90.00
_cell_angle_gamma 90.00
loop_
_atom_site_label
_atom_site_type_symbol
_atom_site_fract_x
_atom_site_fract_y
_atom_site_fract_z
Li1 Li 0.000 0.500 0.000
Nb1 Nb 0.000 0.000 0.737
Te1 Te 0.500 0.500 0.772
O1 O 0.000 0.000 0.294
O2 O 0.247 0.247 0.829
O3 O 0.500 0.500 0.289
```

Magnetic moment = 0.0 μB/f.u.
DFT total energy = -6.465 eV/atom